# 1
Below is an optimized crystal structure of ZnGaBiSb2, with properties calculated at the GGA-PBE level.

crystal system: tetragonal
final energy: -2.63 eV per atom
formation energy without anion corrections: 0.6529 eV per atom

Structure (CIF):
```
data_ZnGaBiSb2
_chemical_formula_sum 'Zn1 Ga1 Bi1 Sb2'
_cell_length_a 5.272
_cell_length_b 5.272
_cell_length_c 5.668
_cell_angle_alpha 90.00
_cell_angle_beta 90.00
_cell_angle_gamma 90.00
_symmetry_space_group_name_H-M 'P 4/m m m'
_symmetry_Int_Tables_number 123
_symmetry_space_group_name_Hall '-P 4 2'
loop_
_atom_site_label
_atom_site_type_symbol
_atom_site_fract_x
_atom_site_fract_y
_atom_site_fract_z
Zn1 Zn 0.000 0.000 0.000
Ga1 Ga 0.500 0.500 0.500
Bi1 Bi 0.500 0.500 0.000
Sb1 Sb 0.000 0.500 0.500
```

# 2
Below is an optimized crystal structure of V5MoW2, with properties calculated at the GGA-PBE level.

ΔE to the lowest computed polymorph: 0 meV per atom
crystal system: tetragonal
final energy: -10.37 eV per atom

Structure (CIF):
```
data_V5MoW2
_chemical_formula_sum 'V10 Mo2 W4'
_cell_length_a 4.329
_cell_length_b 4.329
_cell_length_c 12.264
_cell_angle_alpha 90.00
_cell_angle_beta 90.00
_cell_angle_gamma 90.00
_symmetry_space_group_name_H-M 'I 4/m m m'
_symmetry_Int_Tables_number 139
_symmetry_space_group_name_Hall '-I 4 2'
loop_
_atom_site_label
_atom_site_type_symbol
_atom_site_fract_x
_atom_site_fract_y
_atom_site_fract_z
V1 V 0.000 0.000 0.000
V2 V 0.000 0.500 0.123
Mo1 Mo 0.000 0.000 0.500
W1 W 0.000 0.000 0.247
```

# 3
Below is an optimized crystal structure of LiZrHg2, with properties calculated at the GGA-PBE level.

crystal system: tetragonal
final energy: -2.68 eV per atom

Structure (CIF):
```
data_LiZrHg2
_chemical_formula_sum 'Li4 Zr4 Hg8'
_cell_length_a 7.442
_cell_length_b 7.442
_cell_length_c 6.258
_cell_angle_alpha 90.00
_cell_angle_beta 90.00
_cell_angle_gamma 90.00
_symmetry_space_group_name_H-M 'I -4 2 d'
_symmetry_Int_Tables_number 122
_symmetry_space_group_name_Hall 'I -4 2bw'
loop_
_atom_site_label
_atom_site_type_symbol
_atom_site_fract_x
_atom_site_fract_y
_atom_site_fract_z
Li1 Li 0.000 0.000 0.000
Zr1 Zr 0.000 0.000 0.500
Hg1 Hg 0.215 0.250 0.125
```

# 4
Below is an optimized crystal structure of PmNd2UAs4, with properties calculated at the GGA-PBE level.

crystal system: monoclinic
final energy: -6.84 eV per atom

Structure (CIF):
```
data_PmNd2UAs4
_chemical_formula_sum 'Pm1 Nd2 U1 As4'
_cell_length_a 7.300
_cell_length_b 4.197
_cell_length_c 7.300
_cell_angle_alpha 90.00
_cell_angle_beta 109.13
_cell_angle_gamma 90.00
_symmetry_space_group_name_H-M 'P 1 2/m 1'
_symmetry_Int_Tables_number 10
loop_
_symmetry_equiv_pos_as_xyz
'x,y,z'
'-x,-y,-z'
'-x,y,-z'
'x,-y,z'
loop_
_atom_site_label
_atom_site_type_symbol
_atom_site_fract_x
_atom_site_fract_y
_atom_site_fract_z
Pm1 Pm 0.000 0.000 0.000
Nd1 Nd 0.500 0.000 0.500
Nd2 Nd 0.500 0.500 0.000
U1 U 0.000 0.500 0.500
As1 As 0.240 0.000 0.741
As2 As 0.241 0.500 0.256
```

# 5
Below is an optimized crystal structure of NaHg2IO6, with properties calculated at the GGA-PBE level.

crystal system: trigonal
final energy: -3.87 eV per atom
formation energy without anion corrections: -0.5450 eV per atom

Structure (CIF):
```
data_NaHg2IO6
_chemical_formula_sum 'Na3 Hg6 I3 O18'
_cell_length_a 5.7543
_cell_length_b 5.7543
_cell_length_c 14.4561
_cell_angle_alpha 90.00
_cell_angle_beta 90.00
_cell_angle_gamma 120.00
_symmetry_space_group_name_H-M 'R -3'
_symmetry_Int_Tables_number 148
_symmetry_space_group_name_Hall '-R 3'
loop_
_atom_site_label
_atom_site_type_symbol
_atom_site_fract_x
_atom_site_fract_y
_atom_site_fract_z
Na1 Na 0.0000 0.0000 0.0000
Hg1 Hg 0.0000 0.0000 0.2494
I1 I 0.0000 0.0000 0.5000
O1 O 0.0302 0.2851 0.5774
```

# 6
Below is an optimized crystal structure of Tb3ErHg12, with properties calculated at the GGA-PBE level.

crystal system: tetragonal
final energy: -1.70 eV per atom

Structure (CIF):
```
data_Tb3ErHg12
_chemical_formula_sum 'Tb3 Er1 Hg12'
_cell_length_a 4.520
_cell_length_b 4.520
_cell_length_c 19.223
_cell_angle_alpha 90.00
_cell_angle_beta 90.00
_cell_angle_gamma 90.00
_symmetry_space_group_name_H-M 'P 4/m m m'
_symmetry_Int_Tables_number 123
_symmetry_space_group_name_Hall '-P 4 2'
loop_
_atom_site_label
_atom_site_type_symbol
_atom_site_fract_x
_atom_site_fract_y
_atom_site_fract_z
Tb1 Tb 0.000 0.000 0.000
Tb2 Tb 0.000 0.000 0.251
Er1 Er 0.000 0.000 0.500
Hg1 Hg 0.000 0.500 0.125
Hg2 Hg 0.000 0.500 0.376
Hg3 Hg 0.500 0.500 0.000
Hg4 Hg 0.500 0.500 0.251
Hg5 Hg 0.500 0.500 0.500
```

Q: The lowest final energy belongs to which entry?
A: V5MoW2

Q: The lowest final energy belongs to which entry?
A: V5MoW2